--- w ---
DFT (PBE) results for a relaxed structure of Ga2HBr.

Cell: 5.0089 5.0089 5.0089 Å, 60.00 60.00 60.00°
Sites, in units of the cell vectors:
Ga: 0.2500 0.2500 0.2500
Ga: 0.7500 0.7500 0.7500
H: 0.0000 0.0000 0.0000
Br: 0.5000 0.5000 0.5000

Values from the calculation:
volume: 22.2 A^3/atom

---

--- x ---
DFT (PBE) results for a relaxed structure of Ga2HBr.

Cell: 7.2629 7.2629 7.2629 Å, 135.75 135.75 64.37°
Sites, in units of the cell vectors:
Ga: 0.3750 0.2207 0.3457
Ga: 0.7793 0.1250 0.1543
Ga: 0.8750 0.0293 0.6543
Ga: 0.9707 0.6250 0.8457
H: 0.0000 0.0000 0.0000
H: 0.7500 0.2500 0.5000
Br: 0.2500 0.7500 0.5000
Br: 0.5000 0.5000 0.0000

Values from the calculation:
volume: 23.0 A^3/atom

---

Relative energies in meV/atom: w 186; x 0

---

--- w ---
DFT (PBE) results for a relaxed structure of GaHSeBr2.

Cell: 5.2858 5.2858 5.0190 Å, 90.00 90.00 90.00°
Sites, in units of the cell vectors:
Ga: 0.0000 0.0000 0.0000
H: 0.5000 0.5000 0.5000
Se: 0.0000 0.0000 0.5000
Br: 0.0000 0.5000 0.0000
Br: 0.5000 0.0000 0.0000

Values from the calculation:
volume: 28.0 A^3/atom

---

--- x ---
DFT (PBE) results for a relaxed structure of GaHSeBr2.

Cell: 5.5443 5.5443 3.5719 Å, 90.00 90.00 90.00°
Sites, in units of the cell vectors:
Ga: 0.0000 0.0000 0.0000
H: 0.5000 0.5000 0.5000
Se: 0.5000 0.5000 0.0000
Br: 0.0000 0.5000 0.5000
Br: 0.5000 0.0000 0.5000

Values from the calculation:
volume: 22.0 A^3/atom

---

Relative energies in meV/atom: w 177; x 0

---

--- w ---
DFT (PBE) results for a relaxed structure of HfGa3Br.

Cell: 5.4213 5.4213 5.4213 Å, 90.00 90.00 90.00°
Sites, in units of the cell vectors:
Hf: 0.0000 0.0000 0.0000
Ga: 0.0000 0.0000 0.5000
Ga: 0.0000 0.5000 0.0000
Ga: 0.5000 0.0000 0.0000
Br: 0.5000 0.5000 0.5000

Values from the calculation:
volume: 31.9 A^3/atom

---

--- x ---
DFT (PBE) results for a relaxed structure of HfGa3Br.

Cell: 5.0567 5.0567 5.0567 Å, 90.00 90.00 90.00°
Sites, in units of the cell vectors:
Hf: 0.0000 0.0000 0.0000
Ga: 0.0000 0.5000 0.5000
Ga: 0.5000 0.0000 0.5000
Ga: 0.5000 0.5000 0.0000
Br: 0.5000 0.5000 0.5000

Values from the calculation:
volume: 25.9 A^3/atom

---

Relative energies in meV/atom: w 0; x 333

---

--- w ---
DFT (PBE) results for a relaxed structure of Hf2GaBr.

Cell: 10.3459 10.3459 10.3459 Å, 156.26 156.26 33.83°
Sites, in units of the cell vectors:
Hf: 0.1156 0.6250 0.9906
Hf: 0.3750 0.3656 0.4906
Hf: 0.6344 0.1250 0.0094
Hf: 0.8750 0.8844 0.5094
Ga: 0.0000 0.0000 0.0000
Ga: 0.7500 0.2500 0.5000
Br: 0.2500 0.7500 0.5000
Br: 0.5000 0.5000 0.0000

Values from the calculation:
volume: 22.4 A^3/atom

---

--- x ---
DFT (PBE) results for a relaxed structure of Hf2GaBr.

Cell: 4.8093 4.8093 4.8093 Å, 60.00 60.00 60.00°
Sites, in units of the cell vectors:
Hf: 0.2500 0.2500 0.2500
Hf: 0.7500 0.7500 0.7500
Ga: 0.0000 0.0000 0.0000
Br: 0.5000 0.5000 0.5000

Values from the calculation:
volume: 19.7 A^3/atom

---

Relative energies in meV/atom: w 285; x 0

---

--- w ---
DFT (PBE) results for a relaxed structure of HfGaSeBr2.

Cell: 5.3145 5.3145 5.1871 Å, 90.00 90.00 90.00°
Sites, in units of the cell vectors:
Hf: 0.0000 0.0000 0.0000
Ga: 0.5000 0.5000 0.5000
Se: 0.0000 0.0000 0.5000
Br: 0.0000 0.5000 0.0000
Br: 0.5000 0.0000 0.0000

Values from the calculation:
volume: 29.3 A^3/atom

---

--- x ---
DFT (PBE) results for a relaxed structure of HfGaSeBr2.

Cell: 5.0487 5.0487 5.1061 Å, 90.00 90.00 90.00°
Sites, in units of the cell vectors:
Hf: 0.0000 0.0000 0.0000
Ga: 0.5000 0.5000 0.5000
Se: 0.5000 0.5000 0.0000
Br: 0.0000 0.5000 0.5000
Br: 0.5000 0.0000 0.5000

Values from the calculation:
volume: 26.0 A^3/atom

---

Relative energies in meV/atom: w 0; x 942

---

--- w ---
DFT (PBE) results for a relaxed structure of GaHgBr2.

Cell: 4.8994 5.0227 6.4373 Å, 76.89 67.70 89.83°
Sites, in units of the cell vectors:
Ga: 0.0000 0.0000 0.0000
Hg: 0.1794 0.7591 0.6458
Br: 0.4995 0.1759 0.9999
Br: 0.8243 0.6137 0.3542

Values from the calculation:
volume: 35.5 A^3/atom

---

--- x ---
DFT (PBE) results for a relaxed structure of GaHgBr2.

Cell: 10.4063 10.4063 10.4063 Å, 21.46 21.46 21.46°
Sites, in units of the cell vectors:
Ga: 0.0000 0.0000 0.0000
Hg: 0.1644 0.1644 0.1644
Br: 0.3873 0.3873 0.3873
Br: 0.6127 0.6127 0.6127

Values from the calculation:
volume: 33.0 A^3/atom

---

Relative energies in meV/atom: w 0; x 61